Record 1
Computed, not measured: an optimized crystal structure of Li2VClO3 at the GGA+U level of DFT.

As for the total DFT energy (no corrections): -242.415 eV per cell. As for the mass density: 2.710 Mg/m³. The crystal system is trigonal.

It has space group R-3m (No. 166, hexagonal axes), with a = 6.0402 Å, b = 6.0402 Å, c = 17.2531 Å, α = 90.00°, β = 90.00° and γ = 120.00°. Symmetry generates all atoms from Li at (0.0000, 0.0000, 0.0000), Li at (0.0000, 0.5000, 0.5000), V at (0.0000, 0.0000, 0.4015), Cl at (0.0000, 0.0000, 0.2707) and O at (0.0178, 0.5089, 0.2377).

***

Record 2
Computed, not measured: an optimized crystal structure of Li2WClO at the GGA+U level of DFT.

As for the total DFT energy (no corrections): -21.540 eV per cell. As for the mass density: 4.898 Mg/m³. The crystal system is tetragonal.

It has space group P4/mmm (No. 123), with a = 4.4027 Å, b = 4.4027 Å, c = 4.3584 Å, α = 90.00°, β = 90.00° and γ = 90.00°. Symmetry generates all atoms from Li at (0.0000, 0.5000, 0.0000), W at (0.0000, 0.0000, 0.5000), Cl at (0.5000, 0.5000, 0.5000) and O at (0.0000, 0.0000, 0.0000).